1.
{"formula": "Mg4VN4", "functional": "PBEsol", "state": "relaxed", "lattice_angstrom": [[-4.516, 0.956, -2.710], [-2.303, -4.597, -1.501], [-5.015, -2.415, 5.955]], "species": ["V", "V", "N", "N", "N", "N", "N", "N", "N", "N", "Mg", "Mg", "Mg", "Mg", "Mg", "Mg", "Mg", "Mg"], "fractional_positions": [[0.272, 0.392, 0.765], [0.728, 0.608, 0.235], [0.514, 0.418, 0.196], [0.834, 0.812, 0.040], [0.166, 0.188, 0.960], [0.991, 0.317, 0.381], [0.490, 0.197, 0.621], [0.486, 0.582, 0.804], [0.009, 0.683, 0.619], [0.510, 0.803, 0.379], [0.755, 0.243, 0.002], [0.745, 0.048, 0.419], [0.251, 0.540, 0.405], [0.749, 0.460, 0.595], [0.729, 0.830, 0.798], [0.245, 0.757, 0.998], [0.255, 0.952, 0.581], [0.271, 0.170, 0.202]], "spacegroup": "P-1 (2)", "dft_energy_ev_per_cell": -117.95, "n_ef_per_ev_cell": 4.873, "total_magnetization_mub_per_atom": 0.0002, "formation_energy_uncorrected_ev_per_atom": -0.9295}


2.
{"formula": "CrHgTe2N", "functional": "PBEsol", "state": "relaxed", "lattice_angstrom": [[-1.584, 3.091, 0.523], [-4.777, -2.411, -0.221], [0.164, -0.810, 5.291]], "species": ["N", "Cr", "Te", "Te", "Hg"], "fractional_positions": [[0.500, 0.000, 0.000], [0.000, 0.000, 0.000], [0.000, 0.000, 0.500], [0.000, 0.500, 0.000], [0.500, 0.500, 0.500]], "spacegroup": "P4/mmm (123)", "dft_energy_ev_per_cell": -25.78, "n_ef_per_ev_cell": 2.659, "total_magnetization_mub_per_atom": 0.2052, "formation_energy_uncorrected_ev_per_atom": 0.1212}


3.
{"formula": "AcZn2Cd", "functional": "PBEsol", "state": "relaxed", "lattice_angstrom": [[5.044, 0.000, 0.000], [2.522, 4.368, 0.000], [2.522, 1.456, 4.119]], "species": ["Zn", "Zn", "Cd", "Ac"], "fractional_positions": [[0.750, 0.750, 0.750], [0.250, 0.250, 0.250], [0.000, 0.000, 0.000], [0.500, 0.500, 0.500]], "spacegroup": "Fm-3m (225)", "dft_energy_ev_per_cell": -9.72, "n_ef_per_ev_cell": 1.774, "total_magnetization_mub_per_atom": 0.0000, "e_form_ev_per_atom": -0.21}


4.
{"formula": "Sr2YCu2NiO7", "functional": "PBEsol", "state": "relaxed", "lattice_angstrom": [[5.350, 0.000, 0.000], [0.000, 5.407, 0.000], [-2.675, -2.703, 11.289]], "species": ["O", "O", "O", "O", "O", "O", "O", "O", "O", "O", "O", "O", "O", "O", "Y", "Y", "Sr", "Sr", "Sr", "Sr", "Cu", "Cu", "Cu", "Cu", "Ni", "Ni"], "fractional_positions": [[0.829, 0.314, 0.130], [0.698, 0.190, 0.875], [0.699, 0.686, 0.870], [0.704, 0.142, 0.347], [0.198, 0.185, 0.875], [0.371, 0.369, 0.500], [0.323, 0.815, 0.125], [0.357, 0.858, 0.653], [0.204, 0.705, 0.347], [0.871, 0.631, 0.500], [0.199, 0.684, 0.870], [0.823, 0.810, 0.125], [0.857, 0.295, 0.653], [0.329, 0.316, 0.130], [0.512, 0.500, 0.000], [0.012, 0.000, 0.000], [0.360, 0.340, 0.698], [0.662, 0.660, 0.302], [0.162, 0.142, 0.302], [0.860, 0.858, 0.698], [0.439, 0.927, 0.853], [0.086, 0.573, 0.147], [0.939, 0.427, 0.853], [0.586, 0.073, 0.147], [0.719, 0.319, 0.500], [0.219, 0.681, 0.500]], "spacegroup": "Ima2 (46)", "dft_energy_ev_per_cell": -173.42, "n_ef_per_ev_cell": 9.046, "total_magnetization_mub_per_atom": 0.2183, "formation_energy_uncorrected_ev_per_atom": -1.8950}


5.
{"formula": "Ca3ReN", "functional": "PBEsol", "state": "relaxed", "lattice_angstrom": [[-1.238, 5.012, -1.126], [-2.505, 0.422, 4.633], [4.485, 1.619, 2.277]], "species": ["Ca", "Ca", "Ca", "N", "Re"], "fractional_positions": [[0.000, 0.000, 0.500], [0.000, 0.500, 0.000], [0.500, 0.000, 0.000], [0.500, 0.500, 0.500], [0.000, 0.000, 0.000]], "spacegroup": "Pm-3m (221)", "dft_energy_ev_per_cell": -20.44, "n_ef_per_ev_cell": 4.630, "total_magnetization_mub_per_atom": 0.2905, "formation_energy_uncorrected_ev_per_atom": 1.5636}


6.
{"formula": "Li6CuF8", "functional": "PBEsol", "state": "relaxed", "lattice_angstrom": [[-4.062, 2.239, 3.134], [-0.879, -0.773, -5.586], [-0.029, -4.769, 3.369]], "species": ["Li", "Li", "Li", "Li", "Li", "Li", "F", "F", "F", "F", "F", "F", "F", "F", "Cu"], "fractional_positions": [[0.000, 0.500, 0.500], [0.845, 0.689, 0.032], [0.500, 0.000, 0.500], [0.155, 0.311, 0.968], [0.000, 0.000, 0.500], [0.500, 0.500, 0.500], [0.776, 0.553, 0.276], [0.745, 0.998, 0.767], [0.224, 0.447, 0.724], [0.255, 0.002, 0.233], [0.281, 0.561, 0.319], [0.747, 0.002, 0.233], [0.253, 0.998, 0.767], [0.719, 0.439, 0.681], [0.500, 0.000, 0.000]], "spacegroup": "C2/m (12)", "dft_energy_ev_per_cell": -70.86, "total_magnetization_mub_per_atom": 0.0667, "formation_energy_uncorrected_ev_per_atom": -2.6205}


7.
{"formula": "Mn2CrSb", "functional": "PBEsol", "state": "relaxed", "lattice_angstrom": [[2.968, 0.000, 0.000], [1.484, 2.570, 0.000], [1.484, 0.857, 7.768]], "species": ["Cr", "Mn", "Mn", "Sb"], "fractional_positions": [[0.263, 0.263, 0.210], [0.996, 0.996, 0.011], [0.739, 0.739, 0.782], [0.501, 0.501, 0.497]], "spacegroup": "R3m (160)", "dft_energy_ev_per_cell": -32.00, "n_ef_per_ev_cell": 4.208, "total_magnetization_mub_per_atom": 0.7036, "formation_energy_uncorrected_ev_per_atom": 0.5792}


8.
{"formula": "Ca3PI3", "functional": "PBEsol", "state": "relaxed", "lattice_angstrom": [[-8.294, -5.944, 2.663], [7.670, -6.165, -3.793], [3.511, 5.149, 8.508]], "species": ["I", "I", "I", "I", "I", "I", "I", "I", "I", "I", "I", "I", "P", "P", "P", "P", "Ca", "Ca", "Ca", "Ca", "Ca", "Ca", "Ca", "Ca", "Ca", "Ca", "Ca", "Ca"], "fractional_positions": [[0.005, 0.750, 0.995], [0.495, 0.005, 0.250], [0.245, 0.750, 0.755], [0.750, 0.495, 0.505], [0.255, 0.245, 0.250], [0.005, 0.255, 0.511], [0.750, 0.255, 0.745], [0.011, 0.005, 0.755], [0.255, 0.011, 0.505], [0.245, 0.495, 0.989], [0.495, 0.489, 0.745], [0.489, 0.245, 0.995], [0.750, 0.000, 0.000], [0.500, 0.750, 0.500], [0.000, 0.500, 0.250], [0.750, 0.750, 0.250], [0.767, 0.517, 0.033], [0.967, 0.983, 0.233], [0.983, 0.733, 0.467], [0.533, 0.767, 0.017], [0.250, 0.517, 0.483], [0.767, 0.250, 0.233], [0.250, 0.733, 0.267], [0.983, 0.250, 0.017], [0.733, 0.767, 0.750], [0.517, 0.983, 0.750], [0.733, 0.967, 0.483], [0.517, 0.533, 0.267]], "spacegroup": "I4_132 (214)", "dft_energy_ev_per_cell": -112.63, "n_ef_per_ev_cell": 0.000, "total_magnetization_mub_per_atom": 0.0000, "formation_energy_uncorrected_ev_per_atom": -1.5239}


9.
{"formula": "Ho", "functional": "PBEsol", "state": "relaxed", "lattice_angstrom": [[-2.684, -1.940, -1.181], [2.902, -1.569, 1.216], [-2.160, -0.083, 5.046]], "species": ["Ho", "Ho"], "fractional_positions": [[0.333, 0.667, 0.250], [0.667, 0.333, 0.750]], "spacegroup": "P6_3/mmc (194)", "dft_energy_ev_per_cell": -9.88, "n_ef_per_ev_cell": 3.380, "total_magnetization_mub_per_atom": 0.0000, "e_form_ev_per_atom": 0.01}


10.
{"formula": "SrMnNi2", "functional": "PBEsol", "state": "relaxed", "lattice_angstrom": [[4.478, 0.000, 0.000], [2.239, 3.878, 0.000], [2.239, 1.293, 3.656]], "species": ["Ni", "Ni", "Sr", "Mn"], "fractional_positions": [[0.750, 0.750, 0.750], [0.000, 0.000, 0.000], [0.250, 0.250, 0.250], [0.500, 0.500, 0.500]], "spacegroup": "F-43m (216)", "dft_energy_ev_per_cell": -21.21, "n_ef_per_ev_cell": 4.460, "total_magnetization_mub_per_atom": 1.0125, "e_form_ev_per_atom": 0.68}


11.
{"formula": "Zn2SnHgMo", "functional": "PBEsol", "state": "relaxed", "lattice_angstrom": [[4.721, 0.000, 0.000], [0.000, 4.721, 0.000], [0.000, 0.000, 5.309]], "species": ["Sn", "Zn", "Zn", "Hg", "Mo"], "fractional_positions": [[0.500, 0.500, 0.500], [0.500, 0.000, 0.000], [0.000, 0.500, 0.000], [0.000, 0.000, 0.000], [0.000, 0.000, 0.500]], "spacegroup": "P4/mmm (123)", "dft_energy_ev_per_cell": -14.18, "n_ef_per_ev_cell": 3.855, "total_magnetization_mub_per_atom": 0.5197, "e_form_ev_per_atom": 1.12}


12.
{"formula": "MgReBr", "functional": "PBEsol", "state": "relaxed", "lattice_angstrom": [[4.349, 0.000, 0.000], [2.174, 3.766, 0.000], [2.174, 1.255, 3.551]], "species": ["Mg", "Br", "Re"], "fractional_positions": [[0.000, 0.000, 0.000], [0.750, 0.750, 0.750], [0.500, 0.500, 0.500]], "spacegroup": "F-43m (216)", "dft_energy_ev_per_cell": -12.55, "n_ef_per_ev_cell": 2.414, "total_magnetization_mub_per_atom": 0.5473, "formation_energy_uncorrected_ev_per_atom": 1.4566}